First-principles (PBE) data for a relaxed AcAlSiRh3 crystal, as listed in the Alexandria database.

uncorrected formation energy = -745 meV per atom
magnetic moment = 0.000 μB per cell

a = 7.571 Å, b = 7.571 Å, c = 5.965 Å
α = 90.00°, β = 90.00°, γ = 133.72°
Element x y z (fractional)
Ac: 0.246 0.754 0.750
Ac: 0.754 0.246 0.250
Al: 0.089 0.911 0.250
Al: 0.911 0.089 0.750
Si: 0.428 0.572 0.250
Si: 0.572 0.428 0.750
Rh: 0.251 0.251 0.000
Rh: 0.251 0.251 0.500
Rh: 0.263 0.737 0.250
Rh: 0.737 0.263 0.750
Rh: 0.749 0.749 0.000
Rh: 0.749 0.749 0.500

=====

First-principles (PBE) data for a relaxed AcSmAlRh crystal, as listed in the Alexandria database.

magnetic moment = 0.000 μB per cell
calculated total energy = -5.32 eV/atom

a = 5.268 Å, b = 5.268 Å, c = 5.268 Å
α = 60.00°, β = 60.00°, γ = 60.00°
Element x y z (fractional)
Ac: 0.000 0.000 0.000
Sm: 0.500 0.500 0.500
Al: 0.750 0.750 0.750
Rh: 0.250 0.250 0.250

=====

First-principles (PBE) data for a relaxed Ac2AlSnRh6 crystal, as listed in the Alexandria database.

magnetic moment = 0.000 μB per cell
calculated total energy = -6.53 eV/atom

a = 5.776 Å, b = 6.466 Å, c = 6.725 Å
α = 78.70°, β = 65.62°, γ = 65.56°
Element x y z (fractional)
Ac: 0.022 0.209 0.216
Ac: 0.978 0.791 0.784
Al: 0.500 0.000 0.500
Sn: 0.500 0.500 0.000
Rh: 0.007 0.264 0.725
Rh: 0.368 0.427 0.432
Rh: 0.495 0.210 0.777
Rh: 0.505 0.790 0.223
Rh: 0.632 0.573 0.568
Rh: 0.993 0.736 0.275

=====

First-principles (PBE) data for a relaxed AcTbAlRh crystal, as listed in the Alexandria database.

magnetic moment = 0.000 μB per cell
calculated total energy = -5.31 eV/atom

a = 5.230 Å, b = 5.230 Å, c = 5.230 Å
α = 60.00°, β = 60.00°, γ = 60.00°
Element x y z (fractional)
Ac: 0.000 0.000 0.000
Tb: 0.500 0.500 0.500
Al: 0.250 0.250 0.250
Rh: 0.750 0.750 0.750

=====

First-principles (PBE) data for a relaxed Ac2UAlRh6 crystal, as listed in the Alexandria database.

magnetic moment = 0.000 μB per cell
calculated total energy = -7.31 eV/atom

a = 6.343 Å, b = 6.386 Å, c = 6.955 Å
α = 114.88°, β = 95.43°, γ = 115.79°
Element x y z (fractional)
Ac: 0.221 0.077 0.296
Ac: 0.779 0.923 0.704
U: 0.500 0.500 0.000
Al: 0.000 0.500 0.500
Rh: 0.241 0.649 0.889
Rh: 0.267 0.603 0.274
Rh: 0.325 0.992 0.728
Rh: 0.675 0.008 0.272
Rh: 0.733 0.397 0.726
Rh: 0.759 0.351 0.111

=====

First-principles (PBE) data for a relaxed AcAlZnRh crystal, as listed in the Alexandria database.

magnetic moment = 0.000 μB per cell
calculated total energy = -4.66 eV/atom

a = 6.170 Å, b = 6.170 Å, c = 6.170 Å
α = 41.05°, β = 41.05°, γ = 41.05°
Element x y z (fractional)
Ac: 0.000 0.000 0.000
Al: 0.200 0.200 0.200
Zn: 0.805 0.805 0.805
Rh: 0.537 0.537 0.537